(1)
# ZnRe2Ru

Crystalline ZnRe2Ru at its relaxed geometry (PBE, Alexandria).

```
4
Lattice="4.649 -1.383 0.000 4.649 1.383 0.000 -0.868 0.000 4.544" Properties=species:S:1:pos:R:3 pbc="T T T"
Zn 0.000 0.000 0.000
Re 1.590 0.000 3.373
Re 6.840 0.000 1.170
Ru 4.215 0.000 2.272
```

Calculated values
total energy = -8.69 eV/atom
size of the total moment = 0.0 μB/cell
ρ = 15.32 g/cm³
ΔE_f = 169.1 meV per atom

(2)
# NaSr2Tl

Crystalline NaSr2Tl at its relaxed geometry (PBE, Alexandria).

```
4
Lattice="2.133 1.231 11.048 -2.133 1.231 11.048 0.000 -2.463 11.048" Properties=species:S:1:pos:R:3 pbc="T T T"
Na 0.000 0.000 0.000
Sr 0.000 0.000 7.912
Sr 0.000 0.000 14.208
Tl 0.000 0.000 27.635
```

Calculated values
total energy = -1.88 eV/atom
size of the total moment = 0.0 μB/cell
ρ = 3.84 g/cm³
ΔE_f = -117.0 meV per atom
E above lowest polymorph = 112 meV per atom

(3)
# ZrI2O

Crystalline ZrI2O at its relaxed geometry (PBE, Alexandria).

```
8
Lattice="-3.410 3.410 4.774 3.410 -3.410 4.774 3.410 3.410 -4.774" Properties=species:S:1:pos:R:3 pbc="T T T"
Zr 0.000 0.000 0.000
Zr 0.000 3.410 2.387
I 1.705 -1.556 3.581
I 1.853 1.705 1.194
I 1.705 4.966 -1.194
I 1.556 1.705 5.968
O 3.410 0.000 2.387
O 0.000 0.000 4.774
```

Calculated values
total energy = -4.05 eV/atom
E_form (uncorrected) = 0.10 eV per atom
size of the total moment = 0.0 μB/cell
ρ = 5.40 g/cm³

(4)
# Th2ScBe

Crystalline Th2ScBe at its relaxed geometry (PBE, Alexandria).

```
4
Lattice="3.525 0.000 0.000 0.000 3.525 0.000 0.000 0.000 8.138" Properties=species:S:1:pos:R:3 pbc="T T T"
Th 0.000 0.000 1.690
Th 0.000 0.000 6.447
Sc 1.762 1.762 4.069
Be 1.762 1.762 0.000
```

Calculated values
total energy = -6.06 eV/atom
size of the total moment = 0.0 μB/cell
ρ = 8.51 g/cm³
ΔE_f = 159.9 meV per atom
E above lowest polymorph = 0 meV per atom

(5)
# PrY2PaN4

Crystalline PrY2PaN4 at its relaxed geometry (PBE, Alexandria).

```
8
Lattice="6.078 0.000 0.000 0.000 3.545 0.000 -2.024 0.000 5.803" Properties=species:S:1:pos:R:3 pbc="T T T"
Pr 0.000 0.000 0.000
Y 2.027 0.000 2.901
Y 3.039 1.773 0.000
Pa -1.012 1.773 2.901
N 0.006 0.000 4.248
N 0.946 1.773 1.600
N 3.108 1.773 4.202
N 4.048 0.000 1.554
```

Calculated values
total energy = -9.15 eV/atom
E_form (uncorrected) = -1.59 eV per atom
size of the total moment = 0.0 μB/cell
ρ = 8.04 g/cm³

(6)
# Ba2InNi2

Crystalline Ba2InNi2 at its relaxed geometry (PBE, Alexandria).

```
10
Lattice="7.724 0.000 0.000 0.000 7.724 0.000 0.000 0.000 4.599" Properties=species:S:1:pos:R:3 pbc="T T T"
Ba 1.393 2.469 0.000
Ba 2.469 6.331 0.000
Ba 5.255 1.393 0.000
Ba 6.331 5.255 0.000
In 0.000 0.000 2.299
In 3.862 3.862 2.299
Ni 0.842 4.704 2.299
Ni 3.020 0.842 2.299
Ni 4.704 6.881 2.299
Ni 6.881 3.020 2.299
```

Calculated values
total energy = -3.64 eV/atom
size of the total moment = 0.0 μB/cell
ρ = 6.14 g/cm³
ΔE_f = -15.1 meV per atom

Computed values of DOS at the Fermi energy (unit: states/eV per atom) for the preceding records, in sequence: 1.03, 0.78, 0.07, 1.16, 0.46, 0.58.